(1)
A relaxed V6CrCo crystal, computed with PBE.

Results
Excess energy over the best structure of this formula in the dataset   0.0 kJ per mole of atoms
Density   6.823 g cm⁻³
DOS(E_F)   16.01 states/eV/cell
DFT formation energy   -0.095 eV per atom

Geometry as CIF:
```
data_V6CrCo
_cell_length_a 5.873
_cell_length_b 8.416
_cell_length_c 4.102
_cell_angle_alpha 90.00
_cell_angle_beta 90.00
_cell_angle_gamma 90.00
_space_group_name_H-M_alt 'C m m m'
_space_group_IT_number 65
_space_group_name_Hall '-C 2 2'
loop_
_atom_site_label
_atom_site_type_symbol
_atom_site_fract_x
_atom_site_fract_y
_atom_site_fract_z
_atom_site_occupancy
V1 V 0.000 0.249 0.000 1
V2 V 0.244 0.500 0.000 1
V3 V 0.250 0.250 0.500 1
Cr1 Cr 0.000 0.500 0.500 1
Co1 Co 0.000 0.000 0.500 1
```

(2)
A relaxed V2CrCo4 crystal, computed with PBE.

Results
Density   6.518 g cm⁻³
DOS(E_F)   25.52 states/eV/cell
DFT formation energy   0.988 eV per atom

Geometry as CIF:
```
data_V2CrCo4
_cell_length_a 4.105
_cell_length_b 4.105
_cell_length_c 11.780
_cell_angle_alpha 90.00
_cell_angle_beta 90.00
_cell_angle_gamma 90.00
_space_group_name_H-M_alt 'I 4/m m m'
_space_group_IT_number 139
_space_group_name_Hall '-I 4 2'
loop_
_atom_site_label
_atom_site_type_symbol
_atom_site_fract_x
_atom_site_fract_y
_atom_site_fract_z
_atom_site_occupancy
V1 V 0.000 0.000 0.126 1
Cr1 Cr 0.000 0.000 0.500 1
Co1 Co 0.000 0.000 0.305 1
Co2 Co 0.000 0.500 0.000 1
```

(3)
A relaxed VCrCo5 crystal, computed with PBE.

Results
Density   8.074 g cm⁻³
DOS(E_F)   6.92 states/eV/cell
DFT formation energy   0.194 eV per atom

Geometry as CIF:
```
data_VCrCo5
_cell_length_a 3.660
_cell_length_b 3.660
_cell_length_c 6.104
_cell_angle_alpha 90.00
_cell_angle_beta 90.00
_cell_angle_gamma 90.00
_space_group_name_H-M_alt 'P 4/m m m'
_space_group_IT_number 123
_space_group_name_Hall '-P 4 2'
loop_
_atom_site_label
_atom_site_type_symbol
_atom_site_fract_x
_atom_site_fract_y
_atom_site_fract_z
_atom_site_occupancy
V1 V 0.000 0.000 0.000 1
Cr1 Cr 0.500 0.500 0.500 1
Co1 Co 0.000 0.500 0.277 1
Co2 Co 0.500 0.500 0.000 1
```

(4)
A relaxed VCr3Co crystal, computed with PBE.

Results
Excess energy over the best structure of this formula in the dataset   0.0 kJ per mole of atoms
Density   5.788 g cm⁻³
DOS(E_F)   7.67 states/eV/cell
DFT formation energy   1.195 eV per atom

Geometry as CIF:
```
data_VCr3Co
_cell_length_a 4.241
_cell_length_b 4.241
_cell_length_c 4.241
_cell_angle_alpha 90.00
_cell_angle_beta 90.00
_cell_angle_gamma 90.00
_space_group_name_H-M_alt 'P m -3 m'
_space_group_IT_number 221
_space_group_name_Hall '-P 4 2 3'
loop_
_atom_site_label
_atom_site_type_symbol
_atom_site_fract_x
_atom_site_fract_y
_atom_site_fract_z
_atom_site_occupancy
V1 V 0.000 0.000 0.000 1
Cr1 Cr 0.000 0.500 0.500 1
Co1 Co 0.500 0.500 0.500 1
```

(5)
A relaxed V5Cr4Co crystal, computed with PBE.

Results
Density   7.049 g cm⁻³
DOS(E_F)   7.73 states/eV/cell
DFT formation energy   -0.104 eV per atom

Geometry as CIF:
```
data_V5Cr4Co
_cell_length_a 2.913
_cell_length_b 2.913
_cell_length_c 14.479
_cell_angle_alpha 90.00
_cell_angle_beta 90.00
_cell_angle_gamma 90.00
_space_group_name_H-M_alt 'P 4/m m m'
_space_group_IT_number 123
_space_group_name_Hall '-P 4 2'
loop_
_atom_site_label
_atom_site_type_symbol
_atom_site_fract_x
_atom_site_fract_y
_atom_site_fract_z
_atom_site_occupancy
V1 V 0.000 0.000 0.000 1
V2 V 0.000 0.000 0.202 1
V3 V 0.000 0.000 0.399 1
Cr1 Cr 0.500 0.500 0.100 1
Cr2 Cr 0.500 0.500 0.303 1
Co1 Co 0.500 0.500 0.500 1
```

(6)
A relaxed VCrCo3 crystal, computed with PBE.

Results
Excess energy over the best structure of this formula in the dataset   0.0 kJ per mole of atoms
Density   8.167 g cm⁻³
DOS(E_F)   59.21 states/eV/cell
DFT formation energy   0.085 eV per atom

Geometry as CIF:
```
data_VCrCo3
_cell_length_a 9.398
_cell_length_b 8.318
_cell_length_c 6.587
_cell_angle_alpha 90.00
_cell_angle_beta 117.90
_cell_angle_gamma 90.00
_space_group_name_H-M_alt 'C 1 2/c 1'
_space_group_IT_number 15
loop_
_space_group_symop_operation_xyz
'x,y,z'
'-x,-y,-z'
'-x,y,-z+1/2'
'x,-y,z+1/2'
'x+1/2,y+1/2,z'
'-x+1/2,-y+1/2,-z'
'-x+1/2,y+1/2,-z+1/2'
'x+1/2,-y+1/2,z+1/2'
loop_
_atom_site_label
_atom_site_type_symbol
_atom_site_fract_x
_atom_site_fract_y
_atom_site_fract_z
_atom_site_occupancy
V1 V 0.000 0.032 0.250 1
V2 V 0.000 0.353 0.750 1
Cr1 Cr 0.089 0.342 0.188 1
Co1 Co 0.132 0.153 0.607 1
Co2 Co 0.183 0.139 0.033 1
Co3 Co 0.188 0.435 0.575 1
```

Q: What is the DFT formation energy in the second record?
A: 0.988 eV per atom

Repeat the third record exactly.
A relaxed VCrCo5 crystal, computed with PBE.

Results
Density   8.074 g cm⁻³
DOS(E_F)   6.92 states/eV/cell
DFT formation energy   0.194 eV per atom

Geometry as CIF:
```
data_VCrCo5
_cell_length_a 3.660
_cell_length_b 3.660
_cell_length_c 6.104
_cell_angle_alpha 90.00
_cell_angle_beta 90.00
_cell_angle_gamma 90.00
_space_group_name_H-M_alt 'P 4/m m m'
_space_group_IT_number 123
_space_group_name_Hall '-P 4 2'
loop_
_atom_site_label
_atom_site_type_symbol
_atom_site_fract_x
_atom_site_fract_y
_atom_site_fract_z
_atom_site_occupancy
V1 V 0.000 0.000 0.000 1
Cr1 Cr 0.500 0.500 0.500 1
Co1 Co 0.000 0.500 0.277 1
Co2 Co 0.500 0.500 0.000 1
```

Q: Look up the DFT formation energy of the second one.
A: 0.988 eV per atom

Q: The lowest DFT formation energy belongs to which entry?
A: V5Cr4Co